Density functional theory data (PBE) for crystalline Cd3GaW at its relaxed geometry.

DFT formation energy	115	kJ per mole of atoms
crystal system	cubic

Cell: 5.3828 5.3828 5.3828 Å, 90.00 90.00 90.00°
Element x y z (fractional)
Ga (0.5000, 0.5000, 0.5000)
Cd (0.0000, 0.0000, 0.5000)
Cd (0.0000, 0.5000, 0.0000)
Cd (0.5000, 0.0000, 0.0000)
W (0.0000, 0.0000, 0.0000)

Density functional theory data (PBE) for crystalline AcClF at its relaxed geometry.

formation energy (no corrections)	-2.478	eV per atom
crystal system	cubic

Cell: 4.7486 4.7486 4.7486 Å, 60.00 60.00 60.00°
Element x y z (fractional)
Ac (0.2500, 0.2500, 0.2500)
Cl (0.0000, 0.0000, 0.0000)
F (0.5000, 0.5000, 0.5000)

Density functional theory data (PBE) for crystalline RbAl3Sn3 at its relaxed geometry.

DFT formation energy	6	kJ per mole of atoms
crystal system	cubic

Cell: 7.7404 7.7404 7.7404 Å, 90.00 90.00 90.00°
Element x y z (fractional)
Sn (0.0000, 0.5000, 0.2500)
Sn (0.2500, 0.0000, 0.5000)
Sn (0.5000, 0.2500, 0.0000)
Al (0.7500, 0.5000, 0.0000)
Al (0.0000, 0.2500, 0.5000)
Al (0.5000, 0.0000, 0.7500)
Al (0.5000, 0.0000, 0.2500)
Sn (0.5000, 0.7500, 0.0000)
Rb (0.0000, 0.0000, 0.0000)
Al (0.2500, 0.5000, 0.0000)
Sn (0.0000, 0.5000, 0.7500)
Rb (0.5000, 0.5000, 0.5000)
Sn (0.7500, 0.0000, 0.5000)
Al (0.0000, 0.7500, 0.5000)

no.,E (Ry per atom),spin magnetization (μB per formula unit),E above lowest polymorph (kJ/mol of formula units)
1,-0.18738,2.2,0
2,-0.37390,0.8,77
3,-0.24972,0.0,41